Record 1
Here is CrFeMo after structural relaxation from Alexandria via LeMat-Bulk. Energies are from PBEsol.

Unit cell a=3.979 b=3.979 c=3.979 alpha=60.00 beta=60.00 gamma=60.00
Sites, in units of the cell vectors:
Cr: 0.000 0.000 0.000
Fe: 0.500 0.500 0.500
Mo: 0.250 0.250 0.250

Computed properties:
formation energy: 0.95 eV per atom
energy relative to the lowest polymorph listed for this composition: 180 kJ/mol of formula units
total DFT energy (no corrections): -9.371 eV/atom


Record 2
Here is Pt2Au after structural relaxation from Alexandria via LeMat-Bulk. Energies are from PBEsol.

Unit cell a=6.297 b=6.297 c=6.297 alpha=154.33 beta=154.33 gamma=36.62
Sites, in units of the cell vectors:
Pt: 0.170 0.170 0.000
Pt: 0.830 0.830 0.000
Au: 0.500 0.500 0.000

Computed properties:
formation energy: 0.06 eV per atom
energy relative to the lowest polymorph listed for this composition: 5 kJ/mol of formula units
total DFT energy (no corrections): -5.895 eV/atom


- Number 2 is which compound?
  Pt2Au


- Which of these has the highest energy relative to the lowest polymorph listed for this composition?
  CrFeMo